# 1
LiIn2Ag | meta-GGA SCAN | single point on PBEsol structure

N(E_F) in states/eV per cell: 1.1
Mass density in g/cm³: 7.3
Energy in eV/f.u.: -101.162
E_form in kJ/mol of formula units: -61
Total magnetic moment in μB/atom: 0.000

a = 3.3046 Å, b = 4.0840 Å, c = 5.8398 Å
α = 90.00°, β = 90.00°, γ = 90.00°
Last column: nearest neighbours and their distance in Å.
Space group Pmm2 (No. 25)
Symmetry-distinct sites (fractional):
Li 0.0000 0.0000 0.0000  6 In 2.78-3.06, 4 Ag 2.99
In 0.0000 0.0000 0.4754  2 Li 2.78-3.06, 4 Ag 2.96
In 0.5000 0.5000 0.7643  2 Ag 2.79-3.04, 4 Li 2.97, 4 In 3.12
Ag 0.5000 0.5000 0.2429  6 In 2.79-3.04, 4 Li 2.99

# 2
AsSeCl2 | meta-GGA SCAN | single point on PBEsol structure

Formation energy from raw total energies in meV per atom: 549
N(E_F) in states/eV per cell: 2.5
Mass density in g/cm³: 5.0
Energy in eV/f.u.: -54.027
Total magnetic moment in μB/atom: 0.000

a = 3.0156 Å, b = 4.1088 Å, c = 6.0591 Å
α = 90.00°, β = 90.00°, γ = 90.00°
Last column: nearest neighbours and their distance in Å.
Space group Pmmm (No. 47)
Symmetry-distinct sites (fractional):
As 0.0000 0.0000 0.0000  8 Cl 2.93, 2 As 3.02, 2 Se 3.03
Se 0.0000 0.0000 0.5000  8 Cl 3.00, 2 Se 3.02, 2 As 3.03
Cl 0.5000 0.5000 0.2382  4 Cl 2.89-3.17, 4 As 2.93, 4 Se 3.00